<A>
{"formula": "ScHRh", "functional": "PBE", "state": "relaxed", "cell": [[4.5270, 0.0000, 0.0000], [0.0000, 3.1251, 0.0000], [0.0000, 0.0000, 5.3612]], "species": ["Sc", "Sc", "H", "H", "Rh", "Rh"], "fractional_positions": [[0.2500, 0.0000, 0.2434], [0.7500, 0.0000, 0.7566], [0.2500, 0.0000, 0.8475], [0.7500, 0.0000, 0.1525], [0.2500, 0.5000, 0.6892], [0.7500, 0.5000, 0.3108]], "m_tot_mub_per_cell": 0.00, "vol_a3_per_cell": 75.8, "space_group": "Pmma (51)", "n_ef_per_ev_atom": 0.25}

***

<B>
{"formula": "ScHRh", "functional": "PBE", "state": "relaxed", "cell": [[3.7198, 0.0000, 0.0000], [-1.8599, 3.2214, 0.0000], [0.0000, 0.0000, 3.2480]], "species": ["Sc", "H", "Rh"], "fractional_positions": [[0.0000, 0.0000, 0.0000], [0.3333, 0.6667, 0.5000], [0.6667, 0.3333, 0.5000]], "m_tot_mub_per_cell": 0.00, "vol_a3_per_cell": 38.9, "space_group": "P-6m2 (187)", "n_ef_per_ev_atom": 0.54}

***

Relative energies, unit eV/atom: <A> 0.000; <B> 0.237

***

<A>
{"formula": "ScH2Rh2", "functional": "PBE", "state": "relaxed", "cell": [[6.0964, 0.0000, 0.0000], [0.0000, 6.0964, 0.0000], [0.0000, 0.0000, 3.0549]], "species": ["Sc", "Sc", "H", "H", "H", "H", "Rh", "Rh", "Rh", "Rh"], "fractional_positions": [[0.0000, 0.0000, 0.0000], [0.5000, 0.5000, 0.0000], [0.2467, 0.2533, 0.0000], [0.2533, 0.7533, 0.0000], [0.7467, 0.2467, 0.0000], [0.7533, 0.7467, 0.0000], [0.1515, 0.6515, 0.5000], [0.3485, 0.1515, 0.5000], [0.6515, 0.8485, 0.5000], [0.8485, 0.3485, 0.5000]], "m_tot_mub_per_cell": 0.00, "vol_a3_per_cell": 113.5, "space_group": "P4/mbm (127)", "n_ef_per_ev_atom": 0.45}

***

<B>
{"formula": "ScH2Rh2", "functional": "PBE", "state": "relaxed", "cell": [[-1.6269, 1.6269, 5.0894], [1.6269, -1.6269, 5.0894], [1.6269, 1.6269, -5.0894]], "species": ["Sc", "H", "H", "Rh", "Rh"], "fractional_positions": [[0.0000, 0.0000, 0.0000], [0.2500, 0.7500, 0.5000], [0.7500, 0.2500, 0.5000], [0.3494, 0.3494, 0.0000], [0.6506, 0.6506, 0.0000]], "m_tot_mub_per_cell": 0.00, "vol_a3_per_cell": 53.9, "space_group": "I4/mmm (139)", "n_ef_per_ev_atom": 0.45}

***

Relative energies, unit eV/atom: <A> 0.059; <B> 0.000

***

<A>
{"formula": "ScZnHRh2", "functional": "PBE", "state": "relaxed", "cell": [[4.0489, 0.0000, 0.0000], [0.0000, 4.0489, 0.0000], [0.0000, 0.0000, 3.8666]], "species": ["Sc", "Zn", "H", "Rh", "Rh"], "fractional_positions": [[0.0000, 0.0000, 0.0000], [0.5000, 0.5000, 0.0000], [0.0000, 0.0000, 0.5000], [0.0000, 0.5000, 0.5000], [0.5000, 0.0000, 0.5000]], "m_tot_mub_per_cell": 0.00, "vol_a3_per_cell": 63.4, "space_group": "P4/mmm (123)", "n_ef_per_ev_atom": 0.20}

***

<B>
{"formula": "ScZnHRh2", "functional": "PBE", "state": "relaxed", "cell": [[4.1450, 0.0000, 0.0000], [0.0000, 4.1450, 0.0000], [0.0000, 0.0000, 3.6619]], "species": ["Sc", "Zn", "H", "Rh", "Rh"], "fractional_positions": [[0.0000, 0.0000, 0.0000], [0.5000, 0.5000, 0.0000], [0.5000, 0.5000, 0.5000], [0.0000, 0.5000, 0.5000], [0.5000, 0.0000, 0.5000]], "m_tot_mub_per_cell": 0.00, "vol_a3_per_cell": 62.9, "space_group": "P4/mmm (123)", "n_ef_per_ev_atom": 0.10}

***

Relative energies, unit eV/atom: <A> 0.000; <B> 0.041

***

<A>
{"formula": "HRhSe3", "functional": "PBE", "state": "relaxed", "cell": [[4.2451, 0.0000, 0.0000], [0.0000, 4.2451, 0.0000], [0.0000, 0.0000, 4.2451]], "species": ["H", "Rh", "Se", "Se", "Se"], "fractional_positions": [[0.0000, 0.0000, 0.0000], [0.5000, 0.5000, 0.5000], [0.0000, 0.0000, 0.5000], [0.0000, 0.5000, 0.0000], [0.5000, 0.0000, 0.0000]], "m_tot_mub_per_cell": 0.00, "vol_a3_per_cell": 76.5, "space_group": "Pm-3m (221)", "n_ef_per_ev_atom": 0.82}

***

<B>
{"formula": "HRhSe3", "functional": "PBE", "state": "relaxed", "cell": [[4.9382, 0.0000, 0.0000], [0.0000, 4.9382, 0.0000], [0.0000, 0.0000, 4.9382]], "species": ["H", "Rh", "Se", "Se", "Se"], "fractional_positions": [[0.0000, 0.0000, 0.0000], [0.5000, 0.5000, 0.5000], [0.0000, 0.5000, 0.5000], [0.5000, 0.0000, 0.5000], [0.5000, 0.5000, 0.0000]], "m_tot_mub_per_cell": 0.46, "vol_a3_per_cell": 120.4, "space_group": "Pm-3m (221)", "n_ef_per_ev_atom": 1.52}

***

Relative energies, unit eV/atom: <A> 0.000; <B> 0.041

***

<A>
{"formula": "SiHRh2", "functional": "PBE", "state": "relaxed", "cell": [[-2.8480, 2.8480, 2.7425], [2.8480, -2.8480, 2.7425], [2.8480, 2.8480, -2.7425]], "species": ["Si", "Si", "H", "H", "Rh", "Rh", "Rh", "Rh"], "fractional_positions": [[0.0000, 0.0000, 0.0000], [0.7500, 0.2500, 0.5000], [0.2500, 0.7500, 0.5000], [0.5000, 0.5000, 0.0000], [0.1964, 0.6250, 0.0714], [0.3750, 0.4464, 0.5714], [0.5536, 0.1250, 0.9286], [0.8750, 0.8036, 0.4286]], "m_tot_mub_per_cell": 0.00, "vol_a3_per_cell": 89.0, "space_group": "I-42d (122)", "n_ef_per_ev_atom": 0.80}

***

<B>
{"formula": "SiHRh2", "functional": "PBE", "state": "relaxed", "cell": [[0.0000, 2.8247, 2.8247], [2.8247, 0.0000, 2.8247], [2.8247, 2.8247, 0.0000]], "species": ["Si", "H", "Rh", "Rh"], "fractional_positions": [[0.0000, 0.0000, 0.0000], [0.5000, 0.5000, 0.5000], [0.2500, 0.2500, 0.2500], [0.7500, 0.7500, 0.7500]], "m_tot_mub_per_cell": 0.00, "vol_a3_per_cell": 45.1, "space_group": "Fm-3m (225)", "n_ef_per_ev_atom": 0.36}

***

<C>
{"formula": "SiHRh2", "functional": "PBE", "state": "relaxed", "cell": [[1.6820, 0.9711, 5.8876], [-1.6820, 0.9711, 5.8876], [0.0000, -1.9422, 5.8876]], "species": ["Si", "H", "Rh", "Rh"], "fractional_positions": [[0.0000, 0.0000, 0.0000], [0.5000, 0.5000, 0.5000], [0.4051, 0.4051, 0.4051], [0.5949, 0.5949, 0.5949]], "m_tot_mub_per_cell": 0.00, "vol_a3_per_cell": 57.7, "space_group": "R-3m (166)", "n_ef_per_ev_atom": 0.31}

***

Relative energies, unit eV/atom: <A> 0.000; <B> 0.106; <C> 0.203

***

<A>
{"formula": "SiHRh2", "functional": "PBE", "state": "relaxed", "cell": [[2.8265, 0.0000, 0.0000], [0.0000, 2.8265, 0.0000], [0.0000, 0.0000, 5.5542]], "species": ["Si", "H", "Rh", "Rh"], "fractional_positions": [[0.0000, 0.0000, 0.0000], [0.0000, 0.0000, 0.5000], [0.5000, 0.5000, 0.2579], [0.5000, 0.5000, 0.7421]], "m_tot_mub_per_cell": 0.00, "vol_a3_per_cell": 44.4, "space_group": "P4/mmm (123)", "n_ef_per_ev_atom": 0.31}

***

<B>
{"formula": "SiHRh2", "functional": "PBE", "state": "relaxed", "cell": [[1.4356, 0.8289, 6.3996], [-1.4356, 0.8289, 6.3996], [0.0000, -1.6577, 6.3996]], "species": ["Si", "H", "Rh", "Rh"], "fractional_positions": [[0.0000, 0.0000, 0.0000], [0.8083, 0.8083, 0.8083], [0.4284, 0.4284, 0.4284], [0.5766, 0.5766, 0.5766]], "m_tot_mub_per_cell": 0.00, "vol_a3_per_cell": 45.7, "space_group": "R3m (160)", "n_ef_per_ev_atom": 0.66}

***

Relative energies, unit eV/atom: <A> 0.065; <B> 0.000